# 1
# Er2PuTl4 GGA-PBE relaxed
# - Formation energy from the elements: -10 kJ per mole of atoms
# - DOS at the Fermi energy: 8.7 states/eV/cell
data_Er2PuTl4
_cell_length_a 5.217
_cell_length_b 5.217
_cell_length_c 7.552
_cell_angle_alpha 90.00
_cell_angle_beta 90.00
_cell_angle_gamma 90.00
_space_group_name_H-M_alt 'P 4/m m m'
_space_group_IT_number 123
_space_group_name_Hall '-P 4 2'
loop_
_atom_site_label
_atom_site_fract_x
_atom_site_fract_y
_atom_site_fract_z
_atom_site_occupancy
Er1 0.000 0.000 0.000 1
Er2 0.500 0.500 0.500 1
Pu1 0.000 0.000 0.500 1
Tl1 0.000 0.500 0.228 1

=====

# 2
# Er2PuTl GGA-PBE relaxed
# - Formation energy from the elements: 6 kJ per mole of atoms
# - DOS at the Fermi energy: 56.3 states/eV/cell
data_Er2PuTl
_cell_length_a 7.615
_cell_length_b 7.615
_cell_length_c 7.615
_cell_angle_alpha 90.00
_cell_angle_beta 90.00
_cell_angle_gamma 90.00
_space_group_name_H-M_alt 'F m -3 m'
_space_group_IT_number 225
_space_group_name_Hall '-F 4 2 3'
loop_
_atom_site_label
_atom_site_fract_x
_atom_site_fract_y
_atom_site_fract_z
_atom_site_occupancy
Er1 0.250 0.250 0.250 1
Pu1 0.000 0.000 0.000 1
Tl1 0.000 0.000 0.500 1

=====

# 3
# Er2PuTl3 GGA-PBE relaxed
# - Formation energy from the elements: -20 kJ per mole of atoms
# - DOS at the Fermi energy: 10.4 states/eV/cell
data_Er2PuTl3
_cell_length_a 3.428
_cell_length_b 3.428
_cell_length_c 13.644
_cell_angle_alpha 90.00
_cell_angle_beta 90.00
_cell_angle_gamma 90.00
_space_group_name_H-M_alt 'P 4/m m m'
_space_group_IT_number 123
_space_group_name_Hall '-P 4 2'
loop_
_atom_site_label
_atom_site_fract_x
_atom_site_fract_y
_atom_site_fract_z
_atom_site_occupancy
Er1 0.000 0.000 0.163 1
Pu1 0.000 0.000 0.500 1
Tl1 0.500 0.500 0.000 1
Tl2 0.500 0.500 0.327 1